1.
## Nd3SnP2Rh9 (PBE)

Data for crystalline Nd3SnP2Rh9 at its relaxed geometry.

calculated volume: 299.7 Å³/f.u.
total moment: 0.0 μB/f.u.
E_form: -0.632 eV/atom
DOS at the Fermi energy: 5.825 states/eV per cell

```
data_Nd3SnP2Rh9
_symmetry_space_group_name_H-M 'P -3 m 1'
_symmetry_Int_Tables_number 164
_symmetry_space_group_name_Hall '-P 3 2"'
_cell_length_a 6.1078
_cell_length_b 6.1078
_cell_length_c 9.2760
_cell_angle_alpha 90.00
_cell_angle_beta 90.00
_cell_angle_gamma 120.00
loop_
_atom_site_label
_atom_site_type_symbol
_atom_site_fract_x
_atom_site_fract_y
_atom_site_fract_z
Nd1 Nd 0.0000 0.0000 0.0000
Nd2 Nd 0.3333 0.6667 0.7027
Sn1 Sn 0.0000 0.0000 0.5000
P1 P 0.3333 0.6667 0.1582
Rh1 Rh 0.0000 0.5000 0.0000
Rh2 Rh 0.1513 0.3027 0.2707
```



2.
## Cs5Br2F2 (PBE)

Data for crystalline Cs5Br2F2 at its relaxed geometry.

calculated volume: 423.6 Å³/f.u.
total moment: 0.0 μB/f.u.
DOS at the Fermi energy: 3.845 states/eV per cell

```
data_Cs5Br2F2
_symmetry_space_group_name_H-M 'C 1 2/m 1'
_symmetry_Int_Tables_number 12
_cell_length_a 16.770
_cell_length_b 5.865
_cell_length_c 9.594
_cell_angle_alpha 90.00
_cell_angle_beta 116.12
_cell_angle_gamma 90.00
loop_
_symmetry_equiv_pos_as_xyz
'x,y,z'
'-x,-y,-z'
'-x,y,-z'
'x,-y,z'
'x+1/2,y+1/2,z'
'-x+1/2,-y+1/2,-z'
'-x+1/2,y+1/2,-z'
'x+1/2,-y+1/2,z'
loop_
_atom_site_label
_atom_site_type_symbol
_atom_site_fract_x
_atom_site_fract_y
_atom_site_fract_z
Cs1 Cs 0.000 0.000 0.000
Cs2 Cs 0.150 0.000 0.563
Cs3 Cs 0.151 0.500 0.909
Br1 Br 0.107 0.500 0.256
F1 F 0.155 0.000 0.875
```



Total DFT energy (no corrections) values, unit eV for the cell shown, following the record order: -104.8 -56.6.
Theoretical density values, unit g/cm³, following the record order: 8.531 3.380.